# 1
Entry from Alexandria: a geometry-optimized PmTm3Th2 structure (PBE).

a b c (Å): 7.6669 7.6669 6.6820
angles (deg): 90.00 90.00 100.17
With the nearest neighbours (Å) after each atom.
Atoms (fractional coordinates):
Pm  0.2090  0.7910  0.7500  3 Tm 3.16-3.30, 4 Th 3.45
Pm  0.7910  0.2090  0.2500  3 Tm 3.16-3.30, 4 Th 3.45
Tm  0.0981  0.5688  0.2500  2 Tm 3.28-3.44, 1 Pm 3.30, 4 Th 3.53-3.57
Tm  0.4312  0.9019  0.2500  2 Tm 3.28-3.44, 1 Pm 3.30, 4 Th 3.53-3.57
Tm  0.4778  0.5222  0.7500  1 Pm 3.16, 4 Tm 3.38-3.44
Tm  0.5222  0.4778  0.2500  1 Pm 3.16, 4 Tm 3.38-3.44
Tm  0.5688  0.0981  0.7500  2 Tm 3.28-3.44, 1 Pm 3.30, 4 Th 3.53-3.57
Tm  0.9019  0.4312  0.7500  2 Tm 3.28-3.44, 1 Pm 3.30, 4 Th 3.53-3.57
Th  0.1789  0.1789  0.0000  3 Th 3.34-3.52, 2 Pm 3.45, 6 Tm 3.53-3.58
Th  0.1789  0.1789  0.5000  3 Th 3.34-3.52, 2 Pm 3.45, 6 Tm 3.53-3.58
Th  0.8211  0.8211  0.0000  3 Th 3.34-3.52, 2 Pm 3.45, 6 Tm 3.53-3.58
Th  0.8211  0.8211  0.5000  3 Th 3.34-3.52, 2 Pm 3.45, 6 Tm 3.53-3.58

V (Å³/f.u.): 193.3
Magnetization (μB per cell): 0.0
Excess energy over the best structure of this formula in the dataset (kJ/mol of formula units): 37
ΔH_f (0 K) (eV per atom): 0.22
Total energy (eV per atom): -5.280

---

# 2
Entry from Alexandria: a geometry-optimized CuSi2Ni structure (PBE).

a b c (Å): 4.5000 4.5000 4.1251
angles (deg): 95.37 95.37 36.28
With the nearest neighbours (Å) after each atom.
Atoms (fractional coordinates):
Cu  0.0000  0.0000  0.0000  7 Si 2.38-2.65, 1 Ni 2.55
Si  0.5124  0.5124  0.5156  4 Cu 2.45-2.54, 3 Ni 2.45-2.55, 1 Si 2.49
Si  0.7520  0.7520  0.2162  3 Cu 2.38-2.65, 4 Ni 2.49-2.50, 1 Si 2.49
Ni  0.2514  0.2514  0.7138  7 Si 2.45-2.55, 3 Cu 2.55-2.72

V (Å³/f.u.): 49.2
Uncorrected formation energy (eV/atom): -0.09
Magnetization (μB per cell): 0.0
Total energy (eV per atom): -5.272

---

# 3
Entry from Alexandria: a geometry-optimized MgRu2 structure (PBE).

a b c (Å): 5.9617 5.9617 5.9617
angles (deg): 90.00 90.00 90.00
With the nearest neighbours (Å) after each atom.
Atoms (fractional coordinates):
Mg  0.0000  0.0000  0.0000  6 Ru 2.50
Mg  0.0000  0.5000  0.5000  6 Ru 2.50
Mg  0.5000  0.0000  0.5000  6 Ru 2.50
Mg  0.5000  0.5000  0.0000  6 Ru 2.50
Ru  0.1116  0.6116  0.8884  1 Ru 2.31, 3 Mg 2.50
Ru  0.1116  0.8884  0.3884  1 Ru 2.31, 3 Mg 2.50
Ru  0.3884  0.1116  0.8884  1 Ru 2.31, 3 Mg 2.50
Ru  0.3884  0.3884  0.3884  1 Ru 2.31, 3 Mg 2.50
Ru  0.6116  0.6116  0.6116  1 Ru 2.31, 3 Mg 2.50
Ru  0.6116  0.8884  0.1116  1 Ru 2.31, 3 Mg 2.50
Ru  0.8884  0.1116  0.6116  1 Ru 2.31, 3 Mg 2.50
Ru  0.8884  0.3884  0.1116  1 Ru 2.31, 3 Mg 2.50

V (Å³/f.u.): 53.0
Magnetization (μB per cell): 0.0
ΔH_f (0 K) (eV per atom): 1.33
Total energy (eV per atom): -5.390

---

# 4
Entry from Alexandria: a geometry-optimized ErTm2Zn2Ga2 structure (PBE).

a b c (Å): 9.2792 9.2792 9.2792
angles (deg): 27.58 27.58 27.58
With the nearest neighbours (Å) after each atom.
Atoms (fractional coordinates):
Er  0.0000  0.0000  0.0000  6 Zn 3.08, 6 Ga 3.19, 2 Tm 3.39
Tm  0.1268  0.1268  0.1268  3 Ga 2.95, 3 Zn 3.05
Tm  0.8732  0.8732  0.8732  3 Ga 2.95, 3 Zn 3.05
Zn  0.3978  0.3978  0.3978  3 Ga 2.56
Zn  0.6022  0.6022  0.6022  3 Ga 2.56
Ga  0.2620  0.2620  0.2620  3 Zn 2.56
Ga  0.7380  0.7380  0.7380  3 Zn 2.56

V (Å³/f.u.): 151.1
Magnetization (μB per cell): 0.0
ΔH_f (0 K) (eV per atom): -0.38
Total energy (eV per atom): -3.539

---

# 5
Entry from Alexandria: a geometry-optimized ZrMn2CoC structure (PBE).

a b c (Å): 3.9026 3.9026 3.8317
angles (deg): 90.00 90.00 90.00
With the nearest neighbours (Å) after each atom.
Atoms (fractional coordinates):
Zr  0.0000  0.0000  0.0000  8 Mn 2.73, 4 Co 2.76
Mn  0.0000  0.5000  0.5000  2 C 1.95
Mn  0.5000  0.0000  0.5000  2 C 1.95
Co  0.5000  0.5000  0.0000  2 C 1.92
C  0.5000  0.5000  0.5000  2 Co 1.92, 4 Mn 1.95

V (Å³/f.u.): 58.4
Magnetization (μB per cell): 0.9
ΔH_f (0 K) (eV per atom): -0.18
Total energy (eV per atom): -8.823

---

# 6
Entry from Alexandria: a geometry-optimized ZrSbPb structure (PBE).

a b c (Å): 8.6518 8.6518 8.6518
angles (deg): 158.82 158.82 30.13
With the nearest neighbours (Å) after each atom.
Atoms (fractional coordinates):
Zr  0.0000  0.0000  0.0000  4 Sb 3.16, 4 Zr 3.18, 4 Pb 3.34
Sb  0.3675  0.3675  0.0000  4 Zr 3.16, 4 Sb 3.18
Pb  0.6477  0.6477  0.0000  4 Pb 3.18, 4 Zr 3.34

V (Å³/f.u.): 84.5
Uncorrected formation energy (eV/atom): -0.14
Magnetization (μB per cell): 0.0
Excess energy over the best structure of this formula in the dataset (kJ/mol of formula units): 49
Total energy (eV per atom): -5.600

---

# 7
Entry from Alexandria: a geometry-optimized TiZn2Pt3 structure (PBE).

a b c (Å): 2.8881 2.8881 10.7617
angles (deg): 90.00 90.00 90.00
With the nearest neighbours (Å) after each atom.
Atoms (fractional coordinates):
Ti  0.0000  0.0000  0.0000  8 Pt 2.75, 4 Ti 2.89
Zn  0.0000  0.0000  0.3390  8 Pt 2.68-2.73, 4 Zn 2.89
Zn  0.0000  0.0000  0.6610  8 Pt 2.68-2.73, 4 Zn 2.89
Pt  0.5000  0.5000  0.1709  4 Zn 2.73, 4 Ti 2.75, 4 Pt 2.89
Pt  0.5000  0.5000  0.5000  8 Zn 2.68, 4 Pt 2.89
Pt  0.5000  0.5000  0.8291  4 Zn 2.73, 4 Ti 2.75, 4 Pt 2.89

V (Å³/f.u.): 89.8
Magnetization (μB per cell): 0.7
Excess energy over the best structure of this formula in the dataset (kJ/mol of formula units): 0
ΔH_f (0 K) (eV per atom): -0.72
Total energy (eV per atom): -5.478

---

# 8
Entry from Alexandria: a geometry-optimized SiB2PC structure (PBE).

a b c (Å): 5.8669 5.8669 2.9748
angles (deg): 98.80 98.80 143.33
With the nearest neighbours (Å) after each atom.
Atoms (fractional coordinates):
Si  0.0000  0.0000  0.0000  2 C 1.86
B  0.5533  0.1486  0.6634  1 C 1.61, 2 B 1.75-1.79
B  0.8514  0.4467  0.3366  1 C 1.61, 2 B 1.75-1.79
P  0.3641  0.6359  0.5000  2 B 2.13, 2 Si 2.29
C  0.0999  0.9001  0.5000  2 B 1.61

V (Å³/f.u.): 53.4
Uncorrected formation energy (eV/atom): 0.26
Magnetization (μB per cell): 0.0
Excess energy over the best structure of this formula in the dataset (kJ/mol of formula units): 72
Total energy (eV per atom): -6.421

---

# 9
Entry from Alexandria: a geometry-optimized TbSm2Tl structure (PBE).

a b c (Å): 4.9013 4.9013 4.9532
angles (deg): 90.00 90.00 90.00
With the nearest neighbours (Å) after each atom.
Atoms (fractional coordinates):
Tb  0.0000  0.0000  0.0000  4 Tl 3.47, 8 Sm 3.48
Sm  0.0000  0.5000  0.5000  4 Sm 3.47, 4 Tb 3.48, 4 Tl 3.48
Sm  0.5000  0.0000  0.5000  4 Sm 3.47, 4 Tb 3.48, 4 Tl 3.48
Tl  0.5000  0.5000  0.0000  4 Tb 3.47, 8 Sm 3.48

V (Å³/f.u.): 119.0
Magnetization (μB per cell): 0.7
Excess energy over the best structure of this formula in the dataset (kJ/mol of formula units): 0
ΔH_f (0 K) (eV per atom): -0.19
Total energy (eV per atom): -4.301

---

# 10
Entry from Alexandria: a geometry-optimized NdYSiSe structure (PBE).

a b c (Å): 7.3353 7.3353 7.3353
angles (deg): 33.11 33.11 33.11
With the nearest neighbours (Å) after each atom.
Atoms (fractional coordinates):
Nd  0.0000  0.0000  0.0000  3 Si 2.95, 3 Se 3.07
Y  0.5083  0.5083  0.5083  3 Si 2.89, 3 Se 2.98
Si  0.2518  0.2518  0.2518  3 Y 2.89, 3 Nd 2.95
Se  0.7577  0.7577  0.7577  3 Y 2.98, 3 Nd 3.07

V (Å³/f.u.): 104.8
Uncorrected formation energy (eV/atom): -1.31
Magnetization (μB per cell): 0.0
Total energy (eV per atom): -6.341

---

# 11
Entry from Alexandria: a geometry-optimized LiBe2SiSn structure (PBE).

a b c (Å): 4.5154 4.5154 5.0846
angles (deg): 90.00 90.00 90.00
With the nearest neighbours (Å) after each atom.
Atoms (fractional coordinates):
Li  0.0000  0.0000  0.0000  2 Sn 2.54
Be  0.0000  0.5000  0.5000  2 Sn 2.26
Be  0.5000  0.0000  0.5000  2 Sn 2.26
Si  0.5000  0.5000  0.0000  4 Li 3.19, 8 Be 3.40
Sn  0.0000  0.0000  0.5000  4 Be 2.26

V (Å³/f.u.): 103.7
Uncorrected formation energy (eV/atom): 1.04
Magnetization (μB per cell): 0.0
Total energy (eV per atom): -2.722

---

# 12
Entry from Alexandria: a geometry-optimized Hg2BrCl structure (PBE).

a b c (Å): 8.3622 8.3622 8.3622
angles (deg): 133.00 133.00 68.66
With the nearest neighbours (Å) after each atom.
Atoms (fractional coordinates):
Hg  0.1126  0.6250  0.9876  2 Cl 2.88, 2 Br 2.97
Hg  0.3750  0.3626  0.4876  2 Cl 2.88, 2 Br 2.97
Hg  0.6374  0.1250  0.0124  2 Cl 2.88, 2 Br 2.97
Hg  0.8750  0.8874  0.5124  2 Cl 2.88, 2 Br 2.97
Br  0.2500  0.7500  0.5000  4 Hg 2.97
Br  0.5000  0.5000  0.0000  4 Hg 2.97
Cl  0.0000  0.0000  0.0000  4 Hg 2.88
Cl  0.7500  0.2500  0.5000  4 Hg 2.88

V (Å³/f.u.): 153.6
Uncorrected formation energy (eV/atom): -0.12
Magnetization (μB per cell): 0.0
Excess energy over the best structure of this formula in the dataset (kJ/mol of formula units): 85
Total energy (eV per atom): -1.156